# Rb5Pt | Alexandria via LeMat-Bulk | PBE-GGA | optimized geometry
# density: 2717 kg/m³
# magnetic moment: 0.00 μB per cell
# energy of formation from the pure elements: 0.14 eV per atom
data_Rb5Pt
_cell_length_a 6.439
_cell_length_b 4.904
_cell_length_c 24.092
_cell_angle_alpha 90.00
_cell_angle_beta 90.00
_cell_angle_gamma 90.00
_symmetry_space_group_name_H-M 'A m m 2'
_symmetry_Int_Tables_number 38
loop_
_symmetry_equiv_pos_as_xyz
'x,y,z'
'-x,-y,z'
'-x,y,z'
'x,-y,z'
'x,y+1/2,z+1/2'
'-x,-y+1/2,z+1/2'
'-x,y+1/2,z+1/2'
'x,-y+1/2,z+1/2'
loop_
_atom_site_label
_atom_site_type_symbol
_atom_site_fract_x
_atom_site_fract_y
_atom_site_fract_z
Rb1 Rb 0.000 0.000 0.000
Rb2 Rb 0.000 0.000 0.193
Rb3 Rb 0.500 0.000 0.076
Rb4 Rb 0.500 0.000 0.380
Rb5 Rb 0.500 0.000 0.708
Pt1 Pt 0.000 0.000 0.603